Here is Nd6SiSb2 after structural relaxation from Alexandria. Energies are from PBE.

## Properties
Uncorrected formation energy (meV/atom): -725
DOS(E_F) (states/eV per atom): 1.225
Energy (eV per formula unit): -48.80

Unit cell a=8.4880 b=8.4880 c=4.3463 alpha=90.00 beta=90.00 gamma=120.00
Last column: nearest neighbours and their distance in Å.
Element x y z (fractional)
Nd1 0.0000 0.2457 0.0000  2 Si 3.01, 2 Sb 3.27
Nd2 0.0000 0.5886 0.5000  4 Sb 3.36, 1 Si 3.49, 6 Nd 3.63-3.74
Nd3 0.2457 0.0000 0.0000  2 Si 3.01, 2 Sb 3.27
Nd4 0.4114 0.4114 0.5000  4 Sb 3.36, 1 Si 3.49, 6 Nd 3.63-3.74
Nd5 0.5886 0.0000 0.5000  4 Sb 3.36, 1 Si 3.49, 6 Nd 3.63-3.74
Nd6 0.7543 0.7543 0.0000  2 Si 3.01, 2 Sb 3.27
Si1 0.0000 0.0000 0.5000  6 Nd 3.01
Sb1 0.3333 0.6667 0.0000  9 Nd 3.27-3.36
Sb2 0.6667 0.3333 0.0000  9 Nd 3.27-3.36